Entry 1:
VASP calculation (PBE) on a geometry-optimized SrRhSe4 structure.

**D(E_F)**: 6.18 states/eV/f.u.
**Space group**: F-43m
**Formation energy from raw total energies**: 0.150 eV per atom
**E_tot**: -3.678 eV per atom
**Theoretical density**: 6.16 Mg/m³

Cell lengths 5.778, 5.778, 5.778 Å; angles 60.00, 60.00, 60.00 degrees
Element x y z (fractional)
Sr1 0.000 0.000 0.000
Rh1 0.750 0.750 0.750
Se1 0.376 0.376 0.376
Se2 0.376 0.376 0.871
Se3 0.376 0.871 0.376
Se4 0.871 0.376 0.376

---

Entry 2:
VASP calculation (PBE) on a geometry-optimized BaNi2Cl structure.

**D(E_F)**: 2.81 states/eV/f.u.
**Space group**: Cmmm
**Formation energy from raw total energies**: 0.381 eV per atom
**E_tot**: -3.452 eV per atom
**Theoretical density**: 5.43 Mg/m³

Cell lengths 3.886, 3.886, 6.509 Å; angles 90.00, 90.00, 115.36 degrees
Element x y z (fractional)
Ba1 0.000 0.000 0.000
Ni1 0.500 0.500 0.319
Ni2 0.500 0.500 0.681
Cl1 0.000 0.000 0.500

---

Entry 3:
VASP calculation (PBE) on a geometry-optimized HoEr2Zn2 structure.

**D(E_F)**: 4.64 states/eV/f.u.
**Space group**: P2_1/m
**E_tot**: -3.525 eV per atom
**Theoretical density**: 8.77 Mg/m³
**Energy of formation from the pure elements**: -0.2745 eV per atom

Cell lengths 3.572, 5.108, 13.206 Å; angles 90.00, 97.79, 90.00 degrees
Element x y z (fractional)
Ho1 0.145 0.250 0.288
Ho2 0.855 0.750 0.712
Er1 0.046 0.750 0.092
Er2 0.232 0.750 0.465
Er3 0.768 0.250 0.535
Er4 0.954 0.250 0.908
Zn1 0.360 0.250 0.720
Zn2 0.451 0.750 0.902
Zn3 0.549 0.250 0.098
Zn4 0.640 0.750 0.280

---

Entry 4:
VASP calculation (PBE) on a geometry-optimized Bi2TeAs structure.

**D(E_F)**: 2.04 states/eV/f.u.
**Space group**: R-3m
**Formation energy from raw total energies**: -0.041 eV per atom
**E_tot**: -3.930 eV per atom
**Theoretical density**: 8.42 Mg/m³

Cell lengths 7.338, 7.338, 7.338 Å; angles 36.05, 36.05, 36.05 degrees
Element x y z (fractional)
Bi1 0.240 0.240 0.240
Bi2 0.760 0.760 0.760
Te1 0.000 0.000 0.000
As1 0.500 0.500 0.500

---

Entry 5:
VASP calculation (PBE) on a geometry-optimized LiSc2TlO structure.

**D(E_F)**: 1.84 states/eV/f.u.
**Space group**: P4/mmm
**Formation energy from raw total energies**: -1.400 eV per atom
**E_tot**: -5.780 eV per atom
**Theoretical density**: 6.34 Mg/m³

Cell lengths 4.429, 4.429, 4.237 Å; angles 90.00, 90.00, 90.00 degrees
Element x y z (fractional)
Li1 0.000 0.000 0.000
Sc1 0.000 0.500 0.500
Sc2 0.500 0.000 0.500
Tl1 0.500 0.500 0.000
O1 0.000 0.000 0.500

---

Entry 6:
VASP calculation (PBE) on a geometry-optimized YHgSCl2 structure.

**D(E_F)**: 2.66 states/eV/f.u.
**Space group**: P4/mmm
**Formation energy from raw total energies**: -0.356 eV per atom
**E_tot**: -3.274 eV per atom
**Theoretical density**: 4.75 Mg/m³

Cell lengths 5.189, 5.189, 5.099 Å; angles 90.00, 90.00, 90.00 degrees
Element x y z (fractional)
Y1 0.000 0.000 0.000
Hg1 0.500 0.500 0.500
S1 0.500 0.500 0.000
Cl1 0.000 0.500 0.500
Cl2 0.500 0.000 0.500

---

Entry 7:
VASP calculation (PBE) on a geometry-optimized Zr4Te5As structure.

**D(E_F)**: 3.92 states/eV/f.u.
**Space group**: C2/m
**Formation energy from raw total energies**: -0.933 eV per atom
**E_tot**: -6.388 eV per atom
**Theoretical density**: 6.47 Mg/m³

Cell lengths 9.026, 9.026, 8.177 Å; angles 101.50, 101.50, 25.10 degrees
Element x y z (fractional)
Zr1 0.001 0.001 0.276
Zr2 0.346 0.346 0.430
Zr3 0.654 0.654 0.570
Zr4 0.999 0.999 0.724
Te1 0.166 0.166 0.836
Te2 0.172 0.172 0.312
Te3 0.500 0.500 0.000
Te4 0.828 0.828 0.688
Te5 0.834 0.834 0.164
As1 0.500 0.500 0.500

---

Entry 8:
VASP calculation (PBE) on a geometry-optimized Tc2NiBr structure.

**D(E_F)**: 4.46 states/eV/f.u.
**Space group**: Pm
**Formation energy from raw total energies**: 0.383 eV per atom
**E_tot**: -6.663 eV per atom
**Theoretical density**: 8.25 Mg/m³

Cell lengths 3.166, 2.997, 7.095 Å; angles 90.00, 90.28, 90.00 degrees
Element x y z (fractional)
Tc1 0.000 0.000 0.000
Tc2 0.498 0.500 0.809
Ni1 0.503 0.500 0.208
Br1 0.494 0.000 0.497

---

Entry 9:
VASP calculation (PBE) on a geometry-optimized La8TbSm2 structure.

**D(E_F)**: 19.90 states/eV/f.u.
**Space group**: C2/m
**E_tot**: -4.846 eV per atom
**Theoretical density**: 6.63 Mg/m³
**Energy of formation from the pure elements**: 0.0163 eV per atom

Cell lengths 9.766, 9.766, 8.267 Å; angles 104.64, 104.64, 31.15 degrees
Element x y z (fractional)
La1 0.047 0.047 0.227
La2 0.137 0.137 0.683
La3 0.319 0.319 0.588
La4 0.409 0.409 0.047
La5 0.591 0.591 0.953
La6 0.681 0.681 0.412
La7 0.863 0.863 0.317
La8 0.953 0.953 0.773
Tb1 0.500 0.500 0.500
Sm1 0.227 0.227 0.135
Sm2 0.773 0.773 0.865

---

Entry 10:
VASP calculation (PBE) on a geometry-optimized ZnBSN2 structure.

**D(E_F)**: 1.88 states/eV/f.u.
**Space group**: P4/mmm
**Formation energy from raw total energies**: 0.828 eV per atom
**E_tot**: -4.917 eV per atom
**Theoretical density**: 3.02 Mg/m³

Cell lengths 3.176, 3.176, 7.435 Å; angles 90.00, 90.00, 90.00 degrees
Element x y z (fractional)
Zn1 0.000 0.000 0.000
B1 0.500 0.500 0.500
S1 0.500 0.500 0.000
N1 0.000 0.500 0.500
N2 0.500 0.000 0.500

---

Entry 11:
VASP calculation (PBE) on a geometry-optimized TlV2GaCl8 structure.

**Space group**: R-3
**Formation energy from raw total energies**: -1.053 eV per atom
**E_tot**: -4.254 eV per atom
**Theoretical density**: 2.97 Mg/m³

Cell lengths 10.187, 10.187, 10.187 Å; angles 38.58, 38.58, 38.58 degrees
Element x y z (fractional)
Tl1 0.000 0.000 0.000
V1 0.254 0.254 0.254
V2 0.746 0.746 0.746
Ga1 0.500 0.500 0.500
Cl1 0.069 0.804 0.437
Cl2 0.196 0.563 0.931
Cl3 0.333 0.333 0.333
Cl4 0.437 0.069 0.804
Cl5 0.563 0.931 0.196
Cl6 0.667 0.667 0.667
Cl7 0.804 0.437 0.069
Cl8 0.931 0.196 0.563

---

Entry 12:
VASP calculation (PBE) on a geometry-optimized ErTlCuSe2 structure.

**D(E_F)**: 1.83 states/eV/f.u.
**Space group**: P2/c
**Formation energy from raw total energies**: -0.713 eV per atom
**E_tot**: -4.312 eV per atom
**Theoretical density**: 6.90 Mg/m³

Cell lengths 6.600, 5.873, 7.601 Å; angles 90.00, 104.30, 90.00 degrees
Element x y z (fractional)
Er1 0.000 0.037 0.250
Er2 0.000 0.963 0.750
Tl1 0.500 0.298 0.250
Tl2 0.500 0.702 0.750
Cu1 0.000 0.500 0.000
Cu2 0.000 0.500 0.500
Se1 0.246 0.212 0.574
Se2 0.246 0.788 0.074
Se3 0.754 0.212 0.926
Se4 0.754 0.788 0.426

---

Entry 13:
VASP calculation (PBE) on a geometry-optimized AgHg2BF structure.

**D(E_F)**: 1.19 states/eV/f.u.
**Space group**: P4/mmm
**Formation energy from raw total energies**: 0.109 eV per atom
**E_tot**: -2.292 eV per atom
**Theoretical density**: 10.49 Mg/m³

Cell lengths 4.605, 4.605, 4.023 Å; angles 90.00, 90.00, 90.00 degrees
Element x y z (fractional)
Ag1 0.000 0.000 0.000
Hg1 0.000 0.500 0.500
Hg2 0.500 0.000 0.500
B1 0.500 0.500 0.500
F1 0.500 0.500 0.000

---

Entry 14:
VASP calculation (PBE) on a geometry-optimized FeCoP4 structure.

**D(E_F)**: 6.11 states/eV/f.u.
**Space group**: F-43m
**E_tot**: -5.399 eV per atom
**Theoretical density**: 4.78 Mg/m³
**Energy of formation from the pure elements**: 0.8020 eV per atom

Cell lengths 4.895, 4.895, 4.895 Å; angles 60.00, 60.00, 60.00 degrees
Element x y z (fractional)
Fe1 0.000 0.000 0.000
Co1 0.750 0.750 0.750
P1 0.375 0.375 0.375
P2 0.375 0.375 0.874
P3 0.375 0.874 0.375
P4 0.874 0.375 0.375

---

Entry 15:
VASP calculation (PBE) on a geometry-optimized In2Ge2Cl structure.

**D(E_F)**: 1.91 states/eV/f.u.
**Space group**: I4/mmm
**Formation energy from raw total energies**: -0.067 eV per atom
**E_tot**: -3.379 eV per atom
**Theoretical density**: 5.58 Mg/m³

Cell lengths 8.059, 8.059, 8.059 Å; angles 151.07, 151.07, 41.37 degrees
Element x y z (fractional)
In1 0.097 0.097 0.000
In2 0.903 0.903 0.000
Ge1 0.250 0.750 0.500
Ge2 0.750 0.250 0.500
Cl1 0.500 0.500 0.000

---

Entry 16:
VASP calculation (PBE) on a geometry-optimized Nd3DyHo2S6 structure.

**D(E_F)**: 5.32 states/eV/f.u.
**Space group**: C2/m
**Formation energy from raw total energies**: -2.012 eV per atom
**E_tot**: -6.414 eV per atom
**Theoretical density**: 6.93 Mg/m³

Cell lengths 6.850, 6.850, 6.981 Å; angles 99.40, 99.40, 120.16 degrees
Element x y z (fractional)
Nd1 0.000 0.000 0.000
Nd2 0.334 0.666 0.000
Nd3 0.666 0.334 0.000
Dy1 0.500 0.500 0.500
Ho1 0.167 0.833 0.500
Ho2 0.833 0.167 0.500
S1 0.088 0.422 0.267
S2 0.243 0.243 0.733
S3 0.422 0.088 0.267
S4 0.578 0.912 0.733
S5 0.757 0.757 0.267
S6 0.912 0.578 0.733

---

Entry 17:
VASP calculation (PBE) on a geometry-optimized HoPd3Au3 structure.

**D(E_F)**: 1.98 states/eV/f.u.
**Space group**: P2/m
**E_tot**: -4.711 eV per atom
**Theoretical density**: 13.50 Mg/m³
**Energy of formation from the pure elements**: -0.4266 eV per atom

Cell lengths 6.551, 6.116, 6.604 Å; angles 90.00, 91.83, 90.00 degrees
Element x y z (fractional)
Ho1 0.231 0.000 0.232
Ho2 0.769 0.000 0.768
Pd1 0.000 0.255 0.500
Pd2 0.000 0.745 0.500
Pd3 0.500 0.255 0.000
Pd4 0.500 0.265 0.500
Pd5 0.500 0.735 0.500
Pd6 0.500 0.745 0.000
Au1 0.218 0.500 0.218
Au2 0.226 0.500 0.775
Au3 0.249 0.000 0.751
Au4 0.751 0.000 0.249
Au5 0.774 0.500 0.225
Au6 0.782 0.500 0.782

---

Entry 18:
VASP calculation (PBE) on a geometry-optimized V2Cu2Os structure.

**D(E_F)**: 4.12 states/eV/f.u.
**Space group**: P4/mbm
**E_tot**: -7.314 eV per atom
**Theoretical density**: 10.64 Mg/m³
**Energy of formation from the pure elements**: 0.2175 eV per atom

Cell lengths 6.566, 6.566, 3.036 Å; angles 90.00, 90.00, 90.00 degrees
Element x y z (fractional)
V1 0.178 0.322 0.000
V2 0.322 0.822 0.000
V3 0.678 0.178 0.000
V4 0.822 0.678 0.000
Cu1 0.124 0.624 0.500
Cu2 0.376 0.124 0.500
Cu3 0.624 0.876 0.500
Cu4 0.876 0.376 0.500
Os1 0.000 0.000 0.500
Os2 0.500 0.500 0.500

---

Entry 19:
VASP calculation (PBE) on a geometry-optimized Mn2BeHN structure.

**D(E_F)**: 2.26 states/eV/f.u.
**Space group**: P4/mmm
**E_tot**: -5.908 eV per atom
**Theoretical density**: 3.86 Mg/m³

Cell lengths 4.404, 4.404, 2.968 Å; angles 90.00, 90.00, 90.00 degrees
Element x y z (fractional)
Mn1 0.000 0.500 0.000
Mn2 0.500 0.000 0.000
Be1 0.000 0.000 0.000
H1 0.500 0.500 0.500
N1 0.000 0.000 0.500

---

Entry 20:
VASP calculation (PBE) on a geometry-optimized BeCu4 structure.

**D(E_F)**: 1.57 states/eV/f.u.
**Space group**: Pm-3m
**E_tot**: -3.549 eV per atom
**Theoretical density**: 6.89 Mg/m³
**Energy of formation from the pure elements**: 0.4734 eV per atom

Cell lengths 3.987, 3.987, 3.987 Å; angles 90.00, 90.00, 90.00 degrees
Element x y z (fractional)
Be1 0.000 0.000 0.000
Cu1 0.000 0.000 0.500
Cu2 0.000 0.500 0.000
Cu3 0.500 0.000 0.000
Cu4 0.500 0.500 0.500

---

Entry 21:
VASP calculation (PBE) on a geometry-optimized Y2TlAs2 structure.

**D(E_F)**: 3.51 states/eV/f.u.
**Space group**: I4/mmm
**E_tot**: -5.592 eV per atom
**Theoretical density**: 6.28 Mg/m³
**Energy of formation from the pure elements**: -0.6731 eV per atom

Cell lengths 6.590, 6.590, 6.590 Å; angles 135.06, 135.06, 65.44 degrees
Element x y z (fractional)
Y1 0.250 0.750 0.500
Y2 0.750 0.250 0.500
Tl1 0.000 0.000 0.000
As1 0.373 0.373 0.000
As2 0.627 0.627 0.000

---

Entry 22:
VASP calculation (PBE) on a geometry-optimized YSi2Os structure.

**D(E_F)**: 3.63 states/eV/f.u.
**Space group**: I-42d
**Formation energy from raw total energies**: -0.196 eV per atom
**E_tot**: -7.331 eV per atom
**Theoretical density**: 6.48 Mg/m³

Cell lengths 8.594, 8.594, 8.594 Å; angles 148.60, 148.60, 45.00 degrees
Element x y z (fractional)
Y1 0.000 0.000 0.000
Y2 0.750 0.250 0.500
Si1 0.317 0.625 0.192
Si2 0.375 0.567 0.692
Si3 0.433 0.125 0.808
Si4 0.875 0.683 0.308
Os1 0.250 0.750 0.500
Os2 0.500 0.500 0.000

---

Entry 23:
VASP calculation (PBE) on a geometry-optimized Ti2GaH structure.

**D(E_F)**: 3.05 states/eV/f.u.
**Space group**: P4/mmm
**E_tot**: -5.645 eV per atom
**Theoretical density**: 5.46 Mg/m³

Cell lengths 2.753, 2.753, 6.683 Å; angles 90.00, 90.00, 90.00 degrees
Element x y z (fractional)
Ti1 0.000 0.000 0.201
Ti2 0.000 0.000 0.799
Ga1 0.500 0.500 0.500
H1 0.500 0.500 0.000

---

Entry 24:
VASP calculation (PBE) on a geometry-optimized PmFe4 structure.

**D(E_F)**: 7.29 states/eV/f.u.
**Space group**: Pm-3m
**E_tot**: -5.655 eV per atom
**Theoretical density**: 6.05 Mg/m³
**Energy of formation from the pure elements**: 2.0648 eV per atom

Cell lengths 4.659, 4.659, 4.659 Å; angles 90.00, 90.00, 90.00 degrees
Element x y z (fractional)
Pm1 0.000 0.000 0.000
Fe1 0.000 0.000 0.500
Fe2 0.000 0.500 0.000
Fe3 0.500 0.000 0.000
Fe4 0.500 0.500 0.500

---

Entry 25:
VASP calculation (PBE) on a geometry-optimized TbMgHgRu structure.

**D(E_F)**: 2.90 states/eV/f.u.
**Space group**: F-43m
**E_tot**: -4.097 eV per atom
**Theoretical density**: 9.89 Mg/m³
**Energy of formation from the pure elements**: -0.1468 eV per atom

Cell lengths 4.865, 4.865, 4.865 Å; angles 60.00, 60.00, 60.00 degrees
Element x y z (fractional)
Tb1 0.000 0.000 0.000
Mg1 0.500 0.500 0.500
Hg1 0.750 0.750 0.750
Ru1 0.250 0.250 0.250

---

Entry 26:
VASP calculation (PBE) on a geometry-optimized Ni8As3 structure.

**D(E_F)**: 4.94 states/eV/f.u.
**Space group**: R-3m
**E_tot**: -5.413 eV per atom
**Theoretical density**: 7.75 Mg/m³
**Energy of formation from the pure elements**: 0.0598 eV per atom

Cell lengths 5.310, 5.310, 5.310 Å; angles 86.35, 86.35, 86.35 degrees
Element x y z (fractional)
Ni1 0.119 0.119 0.119
Ni2 0.273 0.273 0.654
Ni3 0.273 0.654 0.273
Ni4 0.346 0.727 0.727
Ni5 0.654 0.273 0.273
Ni6 0.727 0.346 0.727
Ni7 0.727 0.727 0.346
Ni8 0.881 0.881 0.881
As1 0.000 0.000 0.500
As2 0.000 0.500 0.000
As3 0.500 0.000 0.000